LiDyLuAg, relaxed, DFT PBE; spin magnetization = 0.00 μB per formula unit; crystal system = cubic; E_tot = -3.575 eV per atom; space group = F-43m, No. 216
1.0
0.000 3.609 3.609
3.609 0.000 3.609
3.609 3.609 0.000
Li Dy Lu Ag
1 1 1 1
Cartesian
0.000 0.000 0.000
5.414 5.414 5.414
1.805 1.805 1.805
3.609 3.609 3.609